KPrAu2I6 | PBE | relaxed

Cell: 8.000 7.989 9.568 Å, 90.08 114.63 120.01°
Element x y z (fractional)
Pr: 0.996 0.998 0.980
I: 0.149 0.392 0.206
K: 0.997 0.498 0.480
I: 0.163 0.237 0.753
I: 0.530 0.924 0.755
I: 0.463 0.072 0.206
I: 0.845 0.603 0.755
I: 0.829 0.757 0.206
Au: 0.473 0.737 0.193
Au: 0.520 0.259 0.767

Values from the calculation:
Uncorrected formation energy ... -8.2 eV/f.u.
Symmetry ... P1, No. 1
Electronic total energy ... -2.993 eV/atom



KCo2Ru | PBE | relaxed

Cell: 2.570 5.157 4.902 Å, 90.00 90.00 90.00°
Each line ends with the local moment (μB).
Element x y z (fractional)
Ru: 0.000 0.500 0.500  0.64
Co: 0.000 0.000 0.000  1.81
K: 0.500 0.000 0.500  -0.03
Co: 0.500 0.500 0.000  1.84

Values from the calculation:
Symmetry ... Pmmm, No. 47
Formation enthalpy at 0 K ... 5.4 eV/f.u.
ΔE to the lowest computed polymorph ... 0.6705 eV per atom
Electronic total energy ... -4.786 eV/atom



Total magnetic moment values, unit μB per formula unit, following the record order: 0.00, 4.14.